1.
# TaFeNi4, optimized geometry, DFT GGA-PBE
data_TaFeNi4
_chemical_formula_sum 'Ta1 Fe1 Ni4'
_cell_length_a 4.0622
_cell_length_b 4.0622
_cell_length_c 5.0039
_cell_angle_alpha 90.01
_cell_angle_beta 90.01
_cell_angle_gamma 120.00
_symmetry_space_group_name_H-M 'P 1'
_symmetry_Int_Tables_number 1
loop_
_symmetry_equiv_pos_as_xyz
'x,y,z'
loop_
_atom_site_label
_atom_site_type_symbol
_atom_site_fract_x
_atom_site_fract_y
_atom_site_fract_z
_atom_site_occupancy
Ta1 Ta 0.0000 0.5000 0.5000 1
Fe1 Fe 0.0000 0.5000 0.0000 1
Ni1 Ni 0.3335 0.1668 0.7613 1
Ni2 Ni 0.6668 0.8335 0.7613 1
Ni3 Ni 0.3332 0.1665 0.2387 1
Ni4 Ni 0.6665 0.8332 0.2387 1
# relative energy among the computed polymorphs = 29 meV per atom

2.
# TaFeNi6, optimized geometry, DFT GGA-PBE
data_TaFeNi6
_chemical_formula_sum 'Ta1 Fe1 Ni6'
_cell_length_a 4.3470
_cell_length_b 4.3470
_cell_length_c 6.4804
_cell_angle_alpha 74.80
_cell_angle_beta 74.80
_cell_angle_gamma 66.19
_symmetry_space_group_name_H-M 'P 1'
_symmetry_Int_Tables_number 1
loop_
_symmetry_equiv_pos_as_xyz
'x,y,z'
loop_
_atom_site_label
_atom_site_type_symbol
_atom_site_fract_x
_atom_site_fract_y
_atom_site_fract_z
_atom_site_occupancy
Ta1 Ta 0.5000 0.5000 0.5000 1
Fe1 Fe 0.0000 0.0000 0.0000 1
Ni1 Ni 0.0597 0.5434 0.2968 1
Ni2 Ni 0.5434 0.0597 0.2968 1
Ni3 Ni 0.4566 0.9403 0.7032 1
Ni4 Ni 0.9403 0.4566 0.7032 1
Ni5 Ni 0.3577 0.3577 0.9385 1
Ni6 Ni 0.6423 0.6423 0.0615 1
# relative energy among the computed polymorphs = 370 meV per atom

3.
The following is a DFT calculation (GGA-PBE) of an optimized crystal structure of TaFe4Ni15.

Structure (CIF):
```
data_TaFe4Ni15
_chemical_formula_sum 'Ta1 Fe4 Ni15'
_cell_length_a 3.5827
_cell_length_b 3.5827
_cell_length_c 17.7517
_cell_angle_alpha 90.00
_cell_angle_beta 90.00
_cell_angle_gamma 90.00
_symmetry_space_group_name_H-M 'P 1'
_symmetry_Int_Tables_number 1
loop_
_symmetry_equiv_pos_as_xyz
'x,y,z'
loop_
_atom_site_label
_atom_site_type_symbol
_atom_site_fract_x
_atom_site_fract_y
_atom_site_fract_z
_atom_site_occupancy
Ta1 Ta 0.0000 0.0000 0.0000 1
Fe1 Fe 0.0000 0.0000 0.2065 1
Fe2 Fe 0.0000 0.0000 0.4019 1
Fe3 Fe 0.0000 0.0000 0.5981 1
Fe4 Fe 0.0000 0.0000 0.7935 1
Ni1 Ni 0.5000 0.5000 0.0000 1
Ni2 Ni 0.5000 0.5000 0.2040 1
Ni3 Ni 0.5000 0.5000 0.4015 1
Ni4 Ni 0.5000 0.5000 0.5985 1
Ni5 Ni 0.5000 0.5000 0.7960 1
Ni6 Ni 0.5000 0.0000 0.1048 1
Ni7 Ni 0.5000 0.0000 0.3031 1
Ni8 Ni 0.5000 0.0000 0.5000 1
Ni9 Ni 0.5000 0.0000 0.6969 1
Ni10 Ni 0.5000 0.0000 0.8952 1
Ni11 Ni 0.0000 0.5000 0.1048 1
Ni12 Ni 0.0000 0.5000 0.3031 1
Ni13 Ni 0.0000 0.5000 0.5000 1
Ni14 Ni 0.0000 0.5000 0.6969 1
Ni15 Ni 0.0000 0.5000 0.8952 1
```

4.
The following is a DFT calculation (GGA-PBE) of an optimized crystal structure of TaFe2Ni8.

Structure (CIF):
```
data_TaFe2Ni8
_chemical_formula_sum 'Ta1 Fe2 Ni8'
_cell_length_a 4.2507
_cell_length_b 4.7297
_cell_length_c 7.6282
_cell_angle_alpha 108.06
_cell_angle_beta 112.85
_cell_angle_gamma 90.00
_symmetry_space_group_name_H-M 'P 1'
_symmetry_Int_Tables_number 1
loop_
_symmetry_equiv_pos_as_xyz
'x,y,z'
loop_
_atom_site_label
_atom_site_type_symbol
_atom_site_fract_x
_atom_site_fract_y
_atom_site_fract_z
_atom_site_occupancy
Ni1 Ni 0.3215 0.6555 0.8068 1
Ni2 Ni 0.6785 0.8487 0.1932 1
Ni3 Ni 0.2995 0.1897 0.3794 1
Ni4 Ni 0.7005 0.8103 0.6206 1
Ni5 Ni 0.3215 0.1513 0.8068 1
Ni6 Ni 0.6785 0.3445 0.1932 1
Ni7 Ni 0.8155 0.4119 0.8238 1
Ni8 Ni 0.1845 0.5881 0.1762 1
Fe1 Fe 0.8945 0.2613 0.5226 1
Fe2 Fe 0.1055 0.7387 0.4774 1
Ta1 Ta 0.0000 0.0000 0.0000 1
```

5.
The following is a DFT calculation (GGA-PBE) of an optimized crystal structure of Ta2FeNi9.

Structure (CIF):
```
data_Ta2FeNi9
_chemical_formula_sum 'Ta2 Fe1 Ni9'
_cell_length_a 3.6455
_cell_length_b 3.6455
_cell_length_c 10.8525
_cell_angle_alpha 90.00
_cell_angle_beta 90.00
_cell_angle_gamma 90.00
_symmetry_space_group_name_H-M 'P 1'
_symmetry_Int_Tables_number 1
loop_
_symmetry_equiv_pos_as_xyz
'x,y,z'
loop_
_atom_site_label
_atom_site_type_symbol
_atom_site_fract_x
_atom_site_fract_y
_atom_site_fract_z
_atom_site_occupancy
Ta1 Ta 0.0000 0.0000 0.3253 1
Ta2 Ta 0.0000 0.0000 0.6747 1
Fe1 Fe 0.0000 0.0000 0.0000 1
Ni1 Ni 0.5000 0.5000 0.0000 1
Ni2 Ni 0.5000 0.5000 0.3329 1
Ni3 Ni 0.5000 0.5000 0.6671 1
Ni4 Ni 0.5000 0.0000 0.1617 1
Ni5 Ni 0.5000 0.0000 0.5000 1
Ni6 Ni 0.5000 0.0000 0.8383 1
Ni7 Ni 0.0000 0.5000 0.1617 1
Ni8 Ni 0.0000 0.5000 0.5000 1
Ni9 Ni 0.0000 0.5000 0.8383 1
```

6.
# TaFeNi, optimized geometry, DFT GGA-PBE
data_TaFeNi
_chemical_formula_sum 'Ta1 Fe1 Ni1'
_cell_length_a 4.6398
_cell_length_b 4.6398
_cell_length_c 4.6398
_cell_angle_alpha 140.29
_cell_angle_beta 140.29
_cell_angle_gamma 57.41
_symmetry_space_group_name_H-M 'P 1'
_symmetry_Int_Tables_number 1
loop_
_symmetry_equiv_pos_as_xyz
'x,y,z'
loop_
_atom_site_label
_atom_site_type_symbol
_atom_site_fract_x
_atom_site_fract_y
_atom_site_fract_z
_atom_site_occupancy
Fe1 Fe 0.0005 0.0005 0.0000 1
Ni1 Ni 0.6640 0.6640 0.0000 1
Ta1 Ta 0.3355 0.3355 0.0000 1
# relative energy among the computed polymorphs = 100 meV per atom

7.
The following is a DFT calculation (GGA-PBE) of an optimized crystal structure of TaFe2Ni9.

Structure (CIF):
```
data_TaFe2Ni9
_chemical_formula_sum 'Ta1 Fe2 Ni9'
_cell_length_a 3.5981
_cell_length_b 3.5981
_cell_length_c 10.7382
_cell_angle_alpha 90.00
_cell_angle_beta 90.00
_cell_angle_gamma 90.00
_symmetry_space_group_name_H-M 'P 1'
_symmetry_Int_Tables_number 1
loop_
_symmetry_equiv_pos_as_xyz
'x,y,z'
loop_
_atom_site_label
_atom_site_type_symbol
_atom_site_fract_x
_atom_site_fract_y
_atom_site_fract_z
_atom_site_occupancy
Ta1 Ta 0.0000 0.0000 0.0000 1
Fe1 Fe 0.0000 0.0000 0.3399 1
Fe2 Fe 0.0000 0.0000 0.6601 1
Ni1 Ni 0.5000 0.5000 0.0000 1
Ni2 Ni 0.5000 0.5000 0.3360 1
Ni3 Ni 0.5000 0.5000 0.6640 1
Ni4 Ni 0.5000 0.0000 0.1729 1
Ni5 Ni 0.5000 0.0000 0.5000 1
Ni6 Ni 0.5000 0.0000 0.8271 1
Ni7 Ni 0.0000 0.5000 0.1729 1
Ni8 Ni 0.0000 0.5000 0.5000 1
Ni9 Ni 0.0000 0.5000 0.8271 1
```

8.
The following is a DFT calculation (GGA-PBE) of an optimized crystal structure of Ta2Fe3Ni.

Structure (CIF):
```
data_Ta2Fe3Ni
_chemical_formula_sum 'Ta2 Fe3 Ni1'
_cell_length_a 4.7533
_cell_length_b 4.7533
_cell_length_c 4.8407
_cell_angle_alpha 90.02
_cell_angle_beta 119.39
_cell_angle_gamma 119.99
_symmetry_space_group_name_H-M 'P 1'
_symmetry_Int_Tables_number 1
loop_
_symmetry_equiv_pos_as_xyz
'x,y,z'
loop_
_atom_site_label
_atom_site_type_symbol
_atom_site_fract_x
_atom_site_fract_y
_atom_site_fract_z
_atom_site_occupancy
Ta1 Ta 0.7551 0.3775 0.1326 1
Ta2 Ta 0.2449 0.6225 0.8674 1
Fe1 Fe 0.5000 0.5000 0.5000 1
Fe2 Fe 0.0000 0.0000 0.5000 1
Fe3 Fe 0.5000 0.0000 0.5000 1
Ni1 Ni 0.0000 0.0000 0.0000 1
```

9.
The following is a DFT calculation (GGA-PBE) of an optimized crystal structure of TaVFeNi.

Structure (CIF):
```
data_TaVFeNi
_chemical_formula_sum 'Ta1 V1 Fe1 Ni1'
_cell_length_a 4.2378
_cell_length_b 4.2378
_cell_length_c 4.2378
_cell_angle_alpha 60.00
_cell_angle_beta 60.00
_cell_angle_gamma 60.00
_symmetry_space_group_name_H-M 'P 1'
_symmetry_Int_Tables_number 1
loop_
_symmetry_equiv_pos_as_xyz
'x,y,z'
loop_
_atom_site_label
_atom_site_type_symbol
_atom_site_fract_x
_atom_site_fract_y
_atom_site_fract_z
_atom_site_occupancy
Ni1 Ni 0.0000 0.0000 0.0000 1
V1 V 0.7500 0.7500 0.7500 1
Fe1 Fe 0.5000 0.5000 0.5000 1
Ta1 Ta 0.2500 0.2500 0.2500 1
```

10.
The following is a DFT calculation (GGA-PBE) of an optimized crystal structure of TaZnFeNi.

Structure (CIF):
```
data_TaZnFeNi
_chemical_formula_sum 'Ta1 Zn1 Fe1 Ni1'
_cell_length_a 4.2087
_cell_length_b 4.2087
_cell_length_c 4.2087
_cell_angle_alpha 60.00
_cell_angle_beta 60.00
_cell_angle_gamma 60.00
_symmetry_space_group_name_H-M 'P 1'
_symmetry_Int_Tables_number 1
loop_
_symmetry_equiv_pos_as_xyz
'x,y,z'
loop_
_atom_site_label
_atom_site_type_symbol
_atom_site_fract_x
_atom_site_fract_y
_atom_site_fract_z
_atom_site_occupancy
Ni1 Ni 0.5000 0.5000 0.5000 1
Zn1 Zn 0.2500 0.2500 0.2500 1
Fe1 Fe 0.0000 0.0000 0.0000 1
Ta1 Ta 0.7500 0.7500 0.7500 1
```

11.
The following is a DFT calculation (GGA-PBE) of an optimized crystal structure of TbFeNi6.

Structure (CIF):
```
data_TbFeNi6
_chemical_formula_sum 'Tb1 Fe1 Ni6'
_cell_length_a 3.7997
_cell_length_b 3.7997
_cell_length_c 7.8547
_cell_angle_alpha 90.00
_cell_angle_beta 90.00
_cell_angle_gamma 90.00
_symmetry_space_group_name_H-M 'P 1'
_symmetry_Int_Tables_number 1
loop_
_symmetry_equiv_pos_as_xyz
'x,y,z'
loop_
_atom_site_label
_atom_site_type_symbol
_atom_site_fract_x
_atom_site_fract_y
_atom_site_fract_z
_atom_site_occupancy
Tb1 Tb 0.0000 0.0000 0.0000 1
Fe1 Fe 0.0000 0.0000 0.5000 1
Ni1 Ni 0.5000 0.0000 0.6741 1
Ni2 Ni 0.0000 0.5000 0.6741 1
Ni3 Ni 0.5000 0.5000 0.1445 1
Ni4 Ni 0.5000 0.5000 0.8555 1
Ni5 Ni 0.0000 0.5000 0.3259 1
Ni6 Ni 0.5000 0.0000 0.3259 1
```

12.
The following is a DFT calculation (GGA-PBE) of an optimized crystal structure of TbFe2Ni5.

Structure (CIF):
```
data_TbFe2Ni5
_chemical_formula_sum 'Tb1 Fe2 Ni5'
_cell_length_a 3.6703
_cell_length_b 5.9242
_cell_length_c 5.9242
_cell_angle_alpha 67.98
_cell_angle_beta 71.95
_cell_angle_gamma 71.95
_symmetry_space_group_name_H-M 'P 1'
_symmetry_Int_Tables_number 1
loop_
_symmetry_equiv_pos_as_xyz
'x,y,z'
loop_
_atom_site_label
_atom_site_type_symbol
_atom_site_fract_x
_atom_site_fract_y
_atom_site_fract_z
_atom_site_occupancy
Tb1 Tb 0.0000 0.0000 0.0000 1
Fe1 Fe 0.7505 0.7495 0.7495 1
Fe2 Fe 0.2495 0.2505 0.2505 1
Ni1 Ni 0.0000 0.5000 0.5000 1
Ni2 Ni 0.6423 0.5444 0.1710 1
Ni3 Ni 0.3577 0.4556 0.8290 1
Ni4 Ni 0.3577 0.8290 0.4556 1
Ni5 Ni 0.6423 0.1710 0.5444 1
```

no.,DOS(E_F) (states/eV/f.u.),raw total energy (eV/atom),energy of formation from the pure elements (meV/atom)
1,7.47,-7.372,-132
2,6.92,-6.701,174
3,10.86,-6.753,-132
4,9.41,-6.800,20
5,9.56,-7.228,-212
6,3.63,-8.800,-101
7,6.80,-6.898,-163
8,5.32,-9.365,-219
9,4.49,-8.852,-49
10,2.59,-6.975,-133
11,9.38,-5.933,40
12,5.57,-6.323,-15